Below is a relaxed MgCrOF2 crystal, with properties calculated at the GGA+U level.

It has space group P4/mmm (No. 123), with a = 3.7066 Å, b = 3.7066 Å, c = 4.2396 Å, α = 90.00°, β = 90.00° and γ = 90.00°. Symmetry generates all atoms from Mg at (0.0000, 0.0000, 0.0000), Cr at (0.5000, 0.5000, 0.5000), O at (0.0000, 0.0000, 0.5000) and F at (0.0000, 0.5000, 0.0000).

The theoretical density is 3.7 g cm⁻³. For the final energy, the calculation gives -5.78 eV per atom. The value obtained for the volume is 58.25 Å³ per cell.